(1)
Material: CaAl3Au
Method: DFT, PBE
State: relaxed

## Properties
Its density of states at the Fermi level is 3.66 states/eV/cell. The calculation puts the final energy at -16.27 eV/cell.

a = 4.963 Å, b = 4.963 Å, c = 4.963 Å
α = 90.00°, β = 90.00°, γ = 90.00°
Atoms (fractional coordinates):
Ca  0.500  0.500  0.500
Al  0.500  0.000  0.000
Al  0.000  0.500  0.000
Au  0.000  0.000  0.000
Al  0.000  0.000  0.500

***

(2)
Material: CaAl2Au
Method: DFT, PBE
State: relaxed

## Properties
Its density of states at the Fermi level is 1.57 states/eV/cell. The calculation puts the final energy at -13.98 eV/cell.

a = 4.838 Å, b = 4.838 Å, c = 4.838 Å
α = 120.46°, β = 120.46°, γ = 89.21°
Atoms (fractional coordinates):
Al  0.250  0.750  0.500
Ca  0.750  0.250  0.500
Au  0.500  0.500  0.000
Al  0.000  0.000  0.000

***

(3)
Material: Ca2Al4Au5
Method: DFT, PBE
State: relaxed

## Properties
Its density of states at the Fermi level is 4.80 states/eV/cell. The calculation puts the final energy at -41.01 eV/cell.

a = 6.066 Å, b = 5.770 Å, c = 8.362 Å
α = 79.01°, β = 68.73°, γ = 58.29°
Atoms (fractional coordinates):
Al  0.212  0.313  0.263
Au  0.500  0.000  0.000
Al  0.475  0.313  0.737
Al  0.525  0.687  0.263
Au  0.750  0.500  0.500
Ca  0.137  0.000  0.726
Au  0.500  0.500  0.000
Al  0.788  0.687  0.737
Ca  0.863  0.000  0.274
Au  0.000  0.500  0.000
Au  0.250  0.500  0.500

***

(4)
Material: Ca2AlAu2
Method: DFT, PBE
State: relaxed

## Properties
Its density of states at the Fermi level is 3.25 states/eV/cell. The calculation puts the final energy at -16.73 eV/cell.

a = 5.859 Å, b = 5.859 Å, c = 5.655 Å
α = 58.80°, β = 58.80°, γ = 90.00°
Atoms (fractional coordinates):
Al  0.000  0.000  0.000
Ca  0.750  0.250  0.500
Au  0.674  0.674  0.653
Au  0.326  0.326  0.347
Ca  0.250  0.750  0.500